1.
! PBE-GGA Tb3Ga2Ag4, optimized geometry; values from VASP
! ΔH_f (0 K)   -0.395 eV/atom
! Theoretical density   8.84 Mg/m³
&SYSTEM
  ibrav = 0, nat = 9, ntyp = 3
/
ATOMIC_SPECIES
Tb 158.93 Tb.upf
Ga 69.72 Ga.upf
Ag 107.87 Ag.upf
ATOMIC_POSITIONS crystal
Tb 0.000 0.000 0.000
Tb 0.342 0.342 0.327
Tb 0.658 0.658 0.673
Ga 0.376 0.376 0.707
Ga 0.624 0.624 0.293
Ag 0.075 0.075 0.402
Ag 0.287 0.287 0.943
Ag 0.713 0.713 0.057
Ag 0.925 0.925 0.598
CELL_PARAMETERS angstrom
5.364 -2.316 0.000
5.364 2.316 0.000
-3.854 0.000 7.924


2.
! PBE-GGA Tb3Ga3Ag, optimized geometry; values from VASP
! ΔH_f (0 K)   -0.564 eV/atom
! Theoretical density   8.14 Mg/m³
&SYSTEM
  ibrav = 0, nat = 14, ntyp = 3
/
ATOMIC_SPECIES
Tb 158.93 Tb.upf
Ga 69.72 Ga.upf
Ag 107.87 Ag.upf
ATOMIC_POSITIONS crystal
Tb 0.034 0.034 0.380
Tb 0.105 0.105 0.925
Tb 0.237 0.237 0.224
Tb 0.763 0.763 0.776
Tb 0.895 0.895 0.075
Tb 0.966 0.966 0.620
Ga 0.376 0.376 0.454
Ga 0.390 0.390 0.925
Ga 0.475 0.475 0.773
Ga 0.525 0.525 0.227
Ga 0.610 0.610 0.075
Ga 0.624 0.624 0.546
Ag 0.256 0.256 0.605
Ag 0.744 0.744 0.395
CELL_PARAMETERS angstrom
5.430 -2.216 0.000
5.430 2.216 0.000
-4.938 0.000 13.464


The highest theoretical density belongs to which entry?
Tb3Ga2Ag4


Among the records above, which one has the highest theoretical density?
Tb3Ga2Ag4


The lowest theoretical density belongs to which entry?
Tb3Ga3Ag


The highest ΔH_f (0 K) belongs to which entry?
Tb3Ga2Ag4